# 1
A geometry-optimized Be4AgAu structure, computed with PBEsol.

Summary:
- ρ (Mg/m³) = 8.9
- space-group type = No. 216
- calculated formation energy (eV/f.u.) = -0.7

abc: 4.4849 4.4849 4.4849
angles: 60.00 60.00 60.00
Fractional positions:
Be: 0.1248 0.1248 0.1248
Be: 0.1248 0.1248 0.6257
Be: 0.1248 0.6257 0.1248
Be: 0.6257 0.1248 0.1248
Ag: 0.5000 0.5000 0.5000
Au: 0.7500 0.7500 0.7500

=====

# 2
A geometry-optimized AgMoRu2 structure, computed with PBEsol.

Summary:
- ρ (Mg/m³) = 11.7
- space-group type = No. 8
- energy above the lowest structure with this stoichiometry (kJ/mol of formula units) = 35.2
- calculated formation energy (eV/f.u.) = 1.7

abc: 4.8334 4.8334 3.7816
angles: 113.02 113.02 46.08
Fractional positions:
Ag: 0.0000 0.0000 0.0000
Mo: 0.2501 0.2501 0.7482
Ru: 0.4998 0.4998 0.4993
Ru: 0.7500 0.7500 0.2531

=====

# 3
A geometry-optimized Fe2PtRh structure, computed with PBEsol.

Summary:
- ρ (Mg/m³) = 13.1
- space-group type = No. 99
- calculated formation energy (eV/f.u.) = 0.0

abc: 2.7814 2.7814 6.6941
angles: 90.00 90.00 90.00
Fractional positions:
Fe: 0.0000 0.0000 0.0000
Fe: 0.5000 0.5000 0.2187
Pt: 0.0000 0.0000 0.4713
Rh: 0.5000 0.5000 0.7683

=====

# 4
A geometry-optimized MgCd2Sb2 structure, computed with PBEsol.

Summary:
- ρ (Mg/m³) = 6.0
- space-group type = No. 139
- formation energy from raw total energies (kJ per mole of atoms) = 15

abc: 7.1479 7.1479 7.1479
angles: 142.17 142.17 54.58
Fractional positions:
Mg: 0.0000 0.0000 0.0000
Cd: 0.3959 0.3959 0.0000
Cd: 0.6041 0.6041 0.0000
Sb: 0.2500 0.7500 0.5000
Sb: 0.7500 0.2500 0.5000

=====

# 5
A geometry-optimized BSeIBr2 structure, computed with PBEsol.

Summary:
- ρ (Mg/m³) = 3.7
- space-group type = No. 123
- formation energy from raw total energies (kJ per mole of atoms) = 129

abc: 5.6177 5.6177 5.3572
angles: 90.00 90.00 90.00
Fractional positions:
B: 0.0000 0.0000 0.0000
Se: 0.5000 0.5000 0.0000
I: 0.5000 0.5000 0.5000
Br: 0.0000 0.5000 0.5000
Br: 0.5000 0.0000 0.5000

=====

# 6
A geometry-optimized Li2LaMo structure, computed with PBEsol.

Summary:
- ρ (Mg/m³) = 5.2
- space-group type = No. 10
- energy above the lowest structure with this stoichiometry (kJ/mol of formula units) = 8.3
- calculated formation energy (eV/f.u.) = 1.9

abc: 3.0680 5.2959 4.9669
angles: 90.00 100.88 90.00
Fractional positions:
Li: 0.2157 0.0000 0.2949
Li: 0.7843 0.0000 0.7051
La: 0.5000 0.5000 0.0000
Mo: 0.0000 0.5000 0.5000

=====

# 7
A geometry-optimized YAlCd structure, computed with PBEsol.

Summary:
- ρ (Mg/m³) = 5.8
- space-group type = No. 187
- calculated formation energy (eV/f.u.) = -1.3

abc: 4.6618 4.6618 3.4931
angles: 90.00 90.00 120.00
Fractional positions:
Y: 0.0000 0.0000 0.0000
Al: 0.3333 0.6667 0.5000
Cd: 0.6667 0.3333 0.5000

=====

# 8
A geometry-optimized SrAlSN2 structure, computed with PBEsol.

Summary:
- ρ (Mg/m³) = 2.3
- space-group type = No. 123
- formation energy from raw total energies (kJ per mole of atoms) = 139

abc: 4.6979 4.6979 5.6866
angles: 90.00 90.00 90.00
Fractional positions:
Sr: 0.0000 0.0000 0.0000
Al: 0.5000 0.5000 0.5000
S: 0.0000 0.0000 0.5000
N: 0.0000 0.5000 0.0000
N: 0.5000 0.0000 0.0000

=====

# 9
A geometry-optimized HgP2RhO structure, computed with PBEsol.

Summary:
- ρ (Mg/m³) = 7.6
- space-group type = No. 123
- formation energy from raw total energies (kJ per mole of atoms) = 22

abc: 4.7837 4.7837 3.6488
angles: 90.00 90.00 90.00
Fractional positions:
Hg: 0.0000 0.0000 0.0000
P: 0.0000 0.5000 0.5000
P: 0.5000 0.0000 0.5000
Rh: 0.5000 0.5000 0.5000
O: 0.5000 0.5000 0.0000

=====

# 10
A geometry-optimized HgH12C2Br4N6 structure, computed with PBEsol.

Summary:
- ρ (Mg/m³) = 3.1
- space-group type = No. 15

abc: 7.5214 7.5214 12.9637
angles: 102.58 102.58 94.44
Fractional positions:
Hg: 0.2112 0.7888 0.7500
Hg: 0.7888 0.2112 0.2500
H: 0.0069 0.7027 0.1028
H: 0.1070 0.4582 0.1643
H: 0.1473 0.8327 0.0458
H: 0.1673 0.8527 0.4542
H: 0.2196 0.5486 0.4425
H: 0.2973 0.9931 0.3972
H: 0.3280 0.3981 0.1655
H: 0.3981 0.3280 0.6655
H: 0.4024 0.4668 0.3930
H: 0.4514 0.7804 0.0575
H: 0.4582 0.1070 0.6643
H: 0.4668 0.4024 0.8930
H: 0.5332 0.5976 0.1070
H: 0.5418 0.8930 0.3357
H: 0.5486 0.2196 0.9425
H: 0.5976 0.5332 0.6070
H: 0.6019 0.6720 0.3345
H: 0.6720 0.6019 0.8345
H: 0.7027 0.0069 0.6028
H: 0.7804 0.4514 0.5575
H: 0.8327 0.1473 0.5458
H: 0.8527 0.1673 0.9542
H: 0.8930 0.5418 0.8357
H: 0.9931 0.2973 0.8972
C: 0.2609 0.6220 0.1019
C: 0.3780 0.7391 0.3981
C: 0.6220 0.2609 0.6019
C: 0.7391 0.3780 0.8981
Br: 0.0206 0.2349 0.4334
Br: 0.1765 0.4462 0.7799
Br: 0.2349 0.0206 0.9334
Br: 0.4462 0.1765 0.2799
Br: 0.5538 0.8235 0.7201
Br: 0.7651 0.9794 0.0666
Br: 0.8235 0.5538 0.2201
Br: 0.9794 0.7651 0.5666
N: 0.1276 0.7249 0.0807
N: 0.2294 0.4780 0.1433
N: 0.2751 0.8724 0.4193
N: 0.3398 0.5779 0.4211
N: 0.4221 0.6602 0.0789
N: 0.4780 0.2294 0.6433
N: 0.5220 0.7706 0.3567
N: 0.5779 0.3398 0.9211
N: 0.6602 0.4221 0.5789
N: 0.7249 0.1276 0.5807
N: 0.7706 0.5220 0.8567
N: 0.8724 0.2751 0.9193

=====

# 11
A geometry-optimized OsRh2Au structure, computed with PBEsol.

Summary:
- ρ (Mg/m³) = 17.1
- space-group type = No. 123
- energy above the lowest structure with this stoichiometry (kJ/mol of formula units) = 0.0
- calculated formation energy (eV/f.u.) = 0.2

abc: 2.7239 2.7239 7.7684
angles: 90.00 90.00 90.00
Fractional positions:
Os: 0.0000 0.0000 0.0000
Rh: 0.5000 0.5000 0.2319
Rh: 0.5000 0.5000 0.7681
Au: 0.0000 0.0000 0.5000

=====

# 12
A geometry-optimized TiAl structure, computed with PBEsol.

Summary:
- ρ (Mg/m³) = 3.9
- space-group type = No. 123
- calculated formation energy (eV/f.u.) = -0.8

abc: 2.7912 2.7912 4.0397
angles: 90.00 90.00 90.00
Fractional positions:
Ti: 0.0000 0.0000 0.0000
Al: 0.5000 0.5000 0.5000

=====

no.,raw total energy (eV/atom)
1,-3.99
2,-8.43
3,-8.26
4,-2.49
5,-1.94
6,-4.79
7,-4.47
8,-4.03
9,-4.88
10,-5.17
11,-8.05
12,-6.61